Entry from the Alexandria database: a relaxed LiHf2OsO crystal (GGA-PBE).

a b c (Å): 4.484 4.484 3.536
angles (deg): 90.00 90.00 90.00
Space group P4/mmm (No. 123)
Unique sites:
Li (0.000, 0.000, 0.000) (multiplicity 1)
Hf (0.000, 0.500, 0.500) (multiplicity 2)
Os (0.500, 0.500, 0.000) (multiplicity 1)
O (0.000, 0.000, 0.500) (multiplicity 1)

Calculated values
- energy relative to the elements, uncorrected (eV/atom) = -1.285
- final energy (eV per atom) = -8.887

***

Entry from the Alexandria database: a relaxed LiHfP2O crystal (GGA-PBE).

a b c (Å): 5.189 5.189 3.985
angles (deg): 90.00 90.00 90.00
Space group P4/mmm (No. 123)
Unique sites:
Li (0.000, 0.000, 0.000) (multiplicity 1)
Hf (0.500, 0.500, 0.500) (multiplicity 1)
P (0.000, 0.500, 0.500) (multiplicity 2)
O (0.500, 0.500, 0.000) (multiplicity 1)

Calculated values
- energy relative to the elements, uncorrected (eV/atom) = -0.662
- energy above the most stable polymorph in this dataset (meV/atom) = 0
- final energy (eV per atom) = -6.191

***

Entry from the Alexandria database: a relaxed LiHfP2O crystal (GGA-PBE).

a b c (Å): 4.471 4.471 3.492
angles (deg): 90.00 90.00 90.00
Space group P4/mmm (No. 123)
Unique sites:
Li (0.000, 0.000, 0.000) (multiplicity 1)
Hf (0.500, 0.500, 0.500) (multiplicity 1)
P (0.000, 0.500, 0.000) (multiplicity 2)
O (0.000, 0.000, 0.500) (multiplicity 1)

Calculated values
- energy relative to the elements, uncorrected (eV/atom) = -0.132
- energy above the most stable polymorph in this dataset (meV/atom) = 530
- final energy (eV per atom) = -5.661

***

Entry from the Alexandria database: a relaxed LiHfPO5 crystal (GGA-PBE).

a b c (Å): 7.580 8.071 7.549
angles (deg): 90.00 118.64 90.00
Space group C2/c (No. 15)
Unique sites:
Li (0.000, 0.181, 0.250) (multiplicity 4)
Hf (0.000, 0.500, 0.000) (multiplicity 4)
P (0.000, 0.141, 0.750) (multiplicity 4)
O (0.000, 0.414, 0.250) (multiplicity 4)
O (0.020, 0.251, 0.593) (multiplicity 8)
O (0.182, 0.021, 0.854) (multiplicity 8)

Calculated values
- energy relative to the elements, uncorrected (eV/atom) = -2.801
- final energy (eV per atom) = -8.059

***

Entry from the Alexandria database: a relaxed Li2HfPaO6 crystal (GGA-PBE).

a b c (Å): 5.3838 5.3838 14.7516
angles (deg): 90.00 90.00 120.00
Space group R3 (No. 146, hexagonal axes)
Unique sites:
Li (0.0000, 0.0000, 0.0000) (multiplicity 3)
Li (0.0000, 0.0000, 0.4954) (multiplicity 3)
Hf (0.0000, 0.0000, 0.7799) (multiplicity 3)
Pa (0.0000, 0.0000, 0.2805) (multiplicity 3)
O (0.0094, 0.3632, 0.0408) (multiplicity 9)
O (0.0115, 0.7024, 0.8707) (multiplicity 9)

Calculated values
- energy relative to the elements, uncorrected (eV/atom) = -2.847
- final energy (eV per atom) = -8.150

***

Entry from the Alexandria database: a relaxed LiHfPaO5 crystal (GGA-PBE).

a b c (Å): 6.354 9.300 6.996
angles (deg): 90.00 105.82 90.00
Space group C2/c (No. 15)
Unique sites:
Li (0.000, 0.194, 0.250) (multiplicity 4)
Hf (0.000, 0.500, 0.000) (multiplicity 4)
Pa (0.000, 0.125, 0.750) (multiplicity 4)
O (0.000, 0.379, 0.750) (multiplicity 4)
O (0.164, 0.059, 0.450) (multiplicity 8)
O (0.165, 0.327, 0.156) (multiplicity 8)

Calculated values
- energy relative to the elements, uncorrected (eV/atom) = -3.153
- final energy (eV per atom) = -8.922

***

Question: The highest energy relative to the elements, uncorrected belongs to which entry?
Answer: number 3

***

What did the fifth record say?
Entry from the Alexandria database: a relaxed Li2HfPaO6 crystal (GGA-PBE).

a b c (Å): 5.3838 5.3838 14.7516
angles (deg): 90.00 90.00 120.00
Space group R3 (No. 146, hexagonal axes)
Unique sites:
Li (0.0000, 0.0000, 0.0000) (multiplicity 3)
Li (0.0000, 0.0000, 0.4954) (multiplicity 3)
Hf (0.0000, 0.0000, 0.7799) (multiplicity 3)
Pa (0.0000, 0.0000, 0.2805) (multiplicity 3)
O (0.0094, 0.3632, 0.0408) (multiplicity 9)
O (0.0115, 0.7024, 0.8707) (multiplicity 9)

Calculated values
- energy relative to the elements, uncorrected (eV/atom) = -2.847
- final energy (eV per atom) = -8.150

***

Question: final energy of number 3 (LiHfP2O)?
Answer: -5.661 eV per atom

***

Question: Which formula does entry 1 have?
Answer: LiHf2OsO